Computed, not measured: an optimized crystal structure of TaTlCoO2 at the PBE+U level of DFT.

a b c (Å): 3.8848 3.8848 6.3305
angles (deg): 90.00 90.00 90.00
With the nearest neighbours (Å) after each atom.
Positions (direct):
Ta 0.0000 0.0000 0.0000  4 O 1.94
Tl 0.0000 0.0000 0.5000  4 Co 2.75
Co 0.5000 0.5000 0.5000  4 Tl 2.75
O 0.0000 0.5000 0.0000  2 Ta 1.94
O 0.5000 0.0000 0.0000  2 Ta 1.94

Output
- Final energy: -6.790 eV/atom
- Symmetry: P4/mmm, No. 123
- DOS at the Fermi energy: 1.29 states/eV per cell